# 1
Material: Tm2Zr3Ge4
Method: DFT, PBE-GGA
State: relaxed

Computed properties:
Theoretical density (g/cm3): 8.02
SG: P2_1/c (14)
Energy of formation (eV per atom): -0.8774

Lattice parameters (Å, degrees): 7.4238 7.4169 7.2026 90.00 109.58 90.00
Fractional positions:
Tm 0.1889 0.1731 0.0647
Tm 0.1889 0.3269 0.5647
Tm 0.8111 0.6731 0.4353
Tm 0.8111 0.8269 0.9353
Zr 0.2516 0.6774 0.2474
Zr 0.2516 0.8226 0.7474
Zr 0.5000 0.0000 0.5000
Zr 0.5000 0.5000 0.0000
Zr 0.7484 0.1774 0.2526
Zr 0.7484 0.3226 0.7526
Ge 0.0820 0.5325 0.8525
Ge 0.0820 0.9675 0.3525
Ge 0.4852 0.1325 0.8638
Ge 0.4852 0.3675 0.3638
Ge 0.5148 0.6325 0.6362
Ge 0.5148 0.8675 0.1362
Ge 0.9180 0.0325 0.6475
Ge 0.9180 0.4675 0.1475

***

# 2
Material: U6Ge
Method: DFT, PBE-GGA
State: relaxed

Computed properties:
Theoretical density (g/cm3): 13.73
SG: Im-3m (229)
Energy of formation (eV per atom): 1.1634

Lattice parameters (Å, degrees): 7.1335 7.1335 7.1335 90.00 90.00 90.00
Fractional positions:
U 0.0000 0.2500 0.5000
U 0.0000 0.5000 0.2500
U 0.0000 0.5000 0.7500
U 0.0000 0.7500 0.5000
U 0.2500 0.0000 0.5000
U 0.2500 0.5000 0.0000
U 0.5000 0.0000 0.2500
U 0.5000 0.0000 0.7500
U 0.5000 0.2500 0.0000
U 0.5000 0.7500 0.0000
U 0.7500 0.0000 0.5000
U 0.7500 0.5000 0.0000
Ge 0.0000 0.0000 0.0000
Ge 0.5000 0.5000 0.5000

***

# 3
Material: U3Ge2
Method: DFT, PBE-GGA
State: relaxed

Computed properties:
Theoretical density (g/cm3): 13.55
SG: Cmc2_1 (36)
Energy of formation (eV per atom): -0.1425

Lattice parameters (Å, degrees): 5.5665 5.5665 6.7986 90.00 90.00 91.10
Fractional positions:
U 0.1127 0.3733 0.2365
U 0.2429 0.7571 0.5000
U 0.3733 0.1127 0.7365
U 0.6267 0.8873 0.2365
U 0.7571 0.2429 0.0000
U 0.8873 0.6267 0.7365
Ge 0.1139 0.8861 0.0903
Ge 0.4000 0.6000 0.8941
Ge 0.6000 0.4000 0.3941
Ge 0.8861 0.1139 0.5903

***

# 4
Material: UGe6
Method: DFT, PBE-GGA
State: relaxed

Computed properties:
Theoretical density (g/cm3): 6.40
SG: Im-3m (229)
Energy of formation (eV per atom): 0.5340

Lattice parameters (Å, degrees): 7.0459 7.0459 7.0459 90.00 90.00 90.00
Fractional positions:
U 0.0000 0.0000 0.0000
U 0.5000 0.5000 0.5000
Ge 0.0000 0.2500 0.5000
Ge 0.0000 0.5000 0.2500
Ge 0.0000 0.5000 0.7500
Ge 0.0000 0.7500 0.5000
Ge 0.2500 0.0000 0.5000
Ge 0.2500 0.5000 0.0000
Ge 0.5000 0.0000 0.2500
Ge 0.5000 0.0000 0.7500
Ge 0.5000 0.2500 0.0000
Ge 0.5000 0.7500 0.0000
Ge 0.7500 0.0000 0.5000
Ge 0.7500 0.5000 0.0000

***

# 5
Material: U4Ge
Method: DFT, PBE-GGA
State: relaxed

Computed properties:
Theoretical density (g/cm3): 17.07
SG: C2/m (12)
Energy of formation (eV per atom): -0.0881

Lattice parameters (Å, degrees): 8.9751 4.6674 5.2880 90.00 115.83 90.00
Fractional positions:
U 0.1189 0.0000 0.2415
U 0.2348 0.5000 0.1756
U 0.2652 0.0000 0.8244
U 0.3811 0.5000 0.7585
U 0.6189 0.5000 0.2415
U 0.7348 0.0000 0.1756
U 0.7652 0.5000 0.8244
U 0.8811 0.0000 0.7585
Ge 0.0000 0.5000 0.5000
Ge 0.5000 0.0000 0.5000

***

# 6
Material: U5Ge4
Method: DFT, PBE-GGA
State: relaxed

Computed properties:
Theoretical density (g/cm3): 13.25
SG: P6_3/mcm (193)
Energy of formation (eV per atom): -0.1872

Lattice parameters (Å, degrees): 8.5810 8.5810 5.8213 90.00 90.00 120.00
Fractional positions:
U 0.0000 0.2927 0.2500
U 0.0000 0.7073 0.7500
U 0.2927 0.0000 0.2500
U 0.2927 0.2927 0.7500
U 0.3333 0.6667 0.0000
U 0.3333 0.6667 0.5000
U 0.6667 0.3333 0.0000
U 0.6667 0.3333 0.5000
U 0.7073 0.0000 0.7500
U 0.7073 0.7073 0.2500
Ge 0.0000 0.0000 0.0000
Ge 0.0000 0.0000 0.5000
Ge 0.0000 0.3703 0.7500
Ge 0.0000 0.6297 0.2500
Ge 0.3703 0.0000 0.7500
Ge 0.3703 0.3703 0.2500
Ge 0.6297 0.0000 0.2500
Ge 0.6297 0.6297 0.7500

***

# 7
Material: UGe2
Method: DFT, PBE-GGA
State: relaxed

Computed properties:
Theoretical density (g/cm3): 10.93
SG: Fd-3m (227)
Energy of formation (eV per atom): -0.0222

Lattice parameters (Å, degrees): 5.4808 5.4808 5.4808 60.00 60.00 60.00
Fractional positions:
U 0.1250 0.1250 0.1250
U 0.8750 0.8750 0.8750
Ge 0.0000 0.5000 0.5000
Ge 0.5000 0.0000 0.5000
Ge 0.5000 0.5000 0.0000
Ge 0.5000 0.5000 0.5000

***

# 8
Material: UGe5
Method: DFT, PBE-GGA
State: relaxed

Computed properties:
Theoretical density (g/cm3): 8.69
SG: Cmmm (65)
Energy of formation (eV per atom): 0.0223

Lattice parameters (Å, degrees): 4.5981 13.2926 3.7590 90.00 90.00 90.00
Fractional positions:
U 0.0000 0.0000 0.0000
U 0.5000 0.5000 0.0000
Ge 0.0000 0.1832 0.5000
Ge 0.0000 0.3455 0.0000
Ge 0.0000 0.5000 0.5000
Ge 0.0000 0.6545 0.0000
Ge 0.0000 0.8168 0.5000
Ge 0.5000 0.0000 0.5000
Ge 0.5000 0.1545 0.0000
Ge 0.5000 0.3168 0.5000
Ge 0.5000 0.6832 0.5000
Ge 0.5000 0.8455 0.0000

***

# 9
Material: UGe4
Method: DFT, PBE-GGA
State: relaxed

Computed properties:
Theoretical density (g/cm3): 5.76
SG: Pm-3m (221)
Energy of formation (eV per atom): 1.0604

Lattice parameters (Å, degrees): 5.3412 5.3412 5.3412 90.00 90.00 90.00
Fractional positions:
U 0.0000 0.0000 0.0000
Ge 0.0000 0.0000 0.5000
Ge 0.0000 0.5000 0.0000
Ge 0.5000 0.0000 0.0000
Ge 0.5000 0.5000 0.5000

***

# 10
Material: UGe3
Method: DFT, PBE-GGA
State: relaxed

Computed properties:
Theoretical density (g/cm3): 9.92
SG: I4/mmm (139)
Energy of formation (eV per atom): -0.1492

Lattice parameters (Å, degrees): 4.0315 4.0315 9.3961 90.00 90.00 90.00
Fractional positions:
U 0.0000 0.0000 0.0000
U 0.5000 0.5000 0.5000
Ge 0.0000 0.0000 0.5000
Ge 0.0000 0.5000 0.2500
Ge 0.0000 0.5000 0.7500
Ge 0.5000 0.0000 0.2500
Ge 0.5000 0.0000 0.7500
Ge 0.5000 0.5000 0.0000

***

# 11
Material: U5Ge2
Method: DFT, PBE-GGA
State: relaxed

Computed properties:
Theoretical density (g/cm3): 15.73
SG: C2/m (12)
Energy of formation (eV per atom): 0.0569

Lattice parameters (Å, degrees): 10.6234 5.6366 5.4093 90.00 119.46 90.00
Fractional positions:
U 0.0000 0.0000 0.0000
U 0.1314 0.2545 0.5141
U 0.1314 0.7455 0.5141
U 0.3686 0.2455 0.4859
U 0.3686 0.7545 0.4859
U 0.5000 0.5000 0.0000
U 0.6314 0.2455 0.5141
U 0.6314 0.7545 0.5141
U 0.8686 0.2545 0.4859
U 0.8686 0.7455 0.4859
Ge 0.1291 0.5000 0.9929
Ge 0.3709 0.0000 0.0071
Ge 0.6291 0.0000 0.9929
Ge 0.8709 0.5000 0.0071

***

# 12
Material: UGe2
Method: DFT, PBE-GGA
State: relaxed

Computed properties:
Theoretical density (g/cm3): 10.44
SG: Cmmm (65)
Energy of formation (eV per atom): -0.2605

Lattice parameters (Å, degrees): 4.0503 14.3058 4.2074 90.00 90.00 90.00
Fractional positions:
U 0.0000 0.1469 0.0000
U 0.0000 0.8531 0.0000
U 0.5000 0.3531 0.0000
U 0.5000 0.6469 0.0000
Ge 0.0000 0.0000 0.5000
Ge 0.0000 0.3154 0.5000
Ge 0.0000 0.5000 0.0000
Ge 0.0000 0.6846 0.5000
Ge 0.5000 0.0000 0.0000
Ge 0.5000 0.1846 0.5000
Ge 0.5000 0.5000 0.5000
Ge 0.5000 0.8154 0.5000